1.
{"formula": "ZrTc", "functional": "PBE", "state": "relaxed", "formation_enthalpy_0k_ev_per_atom": 0.060, "vol_a3_per_cell": 245, "lattice": [[4.120, 0.000, 0.000], [-2.060, 3.568, 0.000], [0.000, 0.000, 16.683]], "species": ["Zr", "Zr", "Zr", "Zr", "Zr", "Zr", "Tc", "Tc", "Tc", "Tc", "Tc", "Tc"], "frac_coords": [[0.000, 0.000, 0.106], [0.000, 0.000, 0.894], [0.333, 0.667, 0.561], [0.333, 0.667, 0.772], [0.667, 0.333, 0.228], [0.667, 0.333, 0.439], [0.000, 0.000, 0.312], [0.000, 0.000, 0.688], [0.333, 0.667, 0.355], [0.333, 0.667, 0.978], [0.667, 0.333, 0.022], [0.667, 0.333, 0.645]]}

***

2.
{"formula": "ScSiPd2", "functional": "PBE", "state": "relaxed", "e_form_raw_ev_per_atom": -0.92, "vol_a3_per_cell": 521, "lattice": [[14.038, 0.000, 0.000], [0.000, 7.051, 0.000], [0.000, 0.000, 5.259]], "species": ["Sc", "Sc", "Sc", "Sc", "Sc", "Sc", "Sc", "Sc", "Si", "Si", "Si", "Si", "Si", "Si", "Si", "Si", "Pd", "Pd", "Pd", "Pd", "Pd", "Pd", "Pd", "Pd", "Pd", "Pd", "Pd", "Pd", "Pd", "Pd", "Pd", "Pd"], "frac_coords": [[0.112, 0.250, 0.233], [0.134, 0.750, 0.020], [0.366, 0.250, 0.520], [0.388, 0.750, 0.733], [0.612, 0.250, 0.267], [0.634, 0.750, 0.480], [0.866, 0.250, 0.980], [0.888, 0.750, 0.767], [0.068, 0.750, 0.526], [0.184, 0.250, 0.739], [0.316, 0.750, 0.239], [0.432, 0.250, 0.026], [0.568, 0.750, 0.974], [0.684, 0.250, 0.761], [0.816, 0.750, 0.261], [0.932, 0.250, 0.474], [0.034, 0.051, 0.755], [0.034, 0.449, 0.755], [0.215, 0.553, 0.524], [0.215, 0.947, 0.524], [0.285, 0.053, 0.024], [0.285, 0.447, 0.024], [0.466, 0.551, 0.255], [0.466, 0.949, 0.255], [0.534, 0.051, 0.745], [0.534, 0.449, 0.745], [0.715, 0.553, 0.976], [0.715, 0.947, 0.976], [0.785, 0.053, 0.476], [0.785, 0.447, 0.476], [0.966, 0.551, 0.245], [0.966, 0.949, 0.245]]}

***

3.
{"formula": "Ti2AsOs", "functional": "PBE", "state": "relaxed", "formation_enthalpy_0k_ev_per_atom": -0.047, "vol_a3_per_cell": 269, "lattice": [[6.916, 0.000, 0.000], [0.000, 6.916, 0.000], [0.000, 0.000, 5.614]], "species": ["Ti", "Ti", "Ti", "Ti", "Ti", "Ti", "Ti", "Ti", "As", "As", "As", "As", "Os", "Os", "Os", "Os"], "frac_coords": [[0.242, 0.250, 0.125], [0.250, 0.742, 0.375], [0.250, 0.758, 0.875], [0.258, 0.250, 0.625], [0.742, 0.750, 0.625], [0.750, 0.242, 0.875], [0.750, 0.258, 0.375], [0.758, 0.750, 0.125], [0.000, 0.000, 0.500], [0.000, 0.500, 0.750], [0.500, 0.000, 0.250], [0.500, 0.500, 0.000], [0.000, 0.000, 0.000], [0.000, 0.500, 0.250], [0.500, 0.000, 0.750], [0.500, 0.500, 0.500]]}

***

4.
{"formula": "Mg2TaCr", "functional": "PBE", "state": "relaxed", "relative_energy_ev_per_atom": 0.1933, "formation_enthalpy_0k_ev_per_atom": 0.466, "vol_a3_per_cell": 145, "lattice": [[5.534, 0.000, 0.000], [0.000, 9.796, 0.000], [-0.908, 0.000, 2.676]], "species": ["Mg", "Mg", "Mg", "Mg", "Ta", "Ta", "Cr", "Cr"], "frac_coords": [[0.250, 0.250, 0.000], [0.250, 0.750, 0.000], [0.750, 0.250, 0.000], [0.750, 0.750, 0.000], [0.000, 0.000, 0.500], [0.500, 0.500, 0.500], [0.000, 0.500, 0.500], [0.500, 0.000, 0.500]]}